No. 1
The following is a GGA-PBE calculation of a relaxed Te3Br crystal, from Alexandria.

Cell and atoms, written as POSCAR:
```
Te3Br
1.0
-5.575 -6.063 4.028
8.834 1.706 -1.761
0.225 1.527 2.610
Te Br
3 1
Direct
0.500 0.000 0.500 Te
0.500 0.500 0.000 Te
0.000 0.500 0.500 Te
0.000 0.000 0.000 Br
```

Computed properties:
- DOS at the Fermi energy: 0.986 states/eV/atom
- Final energy: -2.604 eV/atom
- Theoretical density: 4.95 g/cm3
- Excess energy over the best structure of this formula in the dataset: 0.273 eV/atom
- Crystal system: orthorhombic

=====

No. 2
The following is a GGA-PBE calculation of a relaxed AlCr3Sb crystal, from Alexandria.

Cell and atoms, written as POSCAR:
```
AlCr3Sb
1.0
-4.615 -0.458 0.698
-0.121 -3.516 -3.101
0.826 -3.069 3.448
Al Sb Cr
1 1 3
Direct
0.000 0.000 0.000 Al
0.500 0.500 0.500 Sb
0.500 0.000 0.000 Cr
0.000 0.500 0.000 Cr
0.000 0.000 0.500 Cr
```

Computed properties:
- DOS at the Fermi energy: 0.713 states/eV/atom
- Final energy: -6.323 eV/atom
- Theoretical density: 4.91 g/cm3
- Excess energy over the best structure of this formula in the dataset: 0.000 eV/atom
- Crystal system: cubic

=====

No. 3
The following is a GGA-PBE calculation of a relaxed Sr4ZrHg crystal, from Alexandria.

Cell and atoms, written as POSCAR:
```
Sr4ZrHg
1.0
2.414 -6.281 2.114
-1.263 -2.235 6.569
-4.500 -5.315 1.113
Sr Zr Hg
4 1 1
Direct
0.376 0.376 0.873 Sr
0.376 0.873 0.376 Sr
0.376 0.376 0.376 Sr
0.873 0.376 0.376 Sr
0.750 0.750 0.750 Zr
0.000 0.000 0.000 Hg
```

Computed properties:
- DOS at the Fermi energy: 1.940 states/eV/atom
- Final energy: -1.901 eV/atom
- Theoretical density: 4.30 g/cm3
- Crystal system: cubic
- E_form: 0.69 eV/atom

=====

No. 4
The following is a GGA-PBE calculation of a relaxed Pm3Sm2Dy3 crystal, from Alexandria.

Cell and atoms, written as POSCAR:
```
Pm3Sm2Dy3
1.0
5.092 0.000 0.000
0.000 5.095 0.000
-2.546 -2.547 10.193
Sm Dy Pm
2 3 3
Direct
0.750 0.250 0.499 Sm
0.250 0.750 0.501 Sm
0.875 0.875 0.750 Dy
0.125 0.125 0.250 Dy
0.000 0.500 0.000 Dy
0.500 0.000 0.000 Pm
0.376 0.376 0.752 Pm
0.624 0.624 0.248 Pm
```

Computed properties:
- DOS at the Fermi energy: 1.498 states/eV/atom
- Final energy: -4.670 eV/atom
- Theoretical density: 7.68 g/cm3
- Excess energy over the best structure of this formula in the dataset: 0.000 eV/atom
- Crystal system: orthorhombic
- E_form: 0.02 eV/atom

=====

No. 5
The following is a GGA-PBE calculation of a relaxed Cr3SbC crystal, from Alexandria.

Cell and atoms, written as POSCAR:
```
Cr3SbC
1.0
-4.557 -1.434 1.806
-0.638 -3.061 -4.038
2.216 -3.829 2.552
Sb Cr C
1 3 1
Direct
0.000 0.000 0.000 Sb
0.500 0.000 0.000 Cr
0.000 0.500 0.000 Cr
0.000 0.000 0.500 Cr
0.500 0.500 0.500 C
```

Computed properties:
- DOS at the Fermi energy: 1.100 states/eV/atom
- Final energy: -6.145 eV/atom
- Theoretical density: 3.61 g/cm3
- Excess energy over the best structure of this formula in the dataset: 2.170 eV/atom
- Crystal system: cubic

=====

No. 6
The following is a GGA-PBE calculation of a relaxed LiGe crystal, from Alexandria.

Cell and atoms, written as POSCAR:
```
LiGe
1.0
9.886 0.000 0.000
0.000 13.328 0.000
0.000 0.000 4.418
Li Ge
16 16
Direct
0.387 0.750 0.250 Li
0.887 0.750 0.750 Li
0.637 0.000 0.500 Li
0.387 0.250 0.750 Li
0.613 0.750 0.750 Li
0.637 0.500 0.000 Li
0.113 0.750 0.250 Li
0.887 0.250 0.250 Li
0.137 0.000 0.000 Li
0.863 0.500 0.500 Li
0.137 0.500 0.500 Li
0.613 0.250 0.250 Li
0.113 0.250 0.750 Li
0.863 0.000 0.000 Li
0.363 0.000 0.500 Li
0.363 0.500 0.000 Li
0.500 0.592 0.500 Ge
0.750 0.342 0.750 Ge
0.500 0.092 0.000 Ge
0.750 0.842 0.250 Ge
0.250 0.842 0.750 Ge
0.000 0.908 0.500 Ge
0.750 0.158 0.750 Ge
0.500 0.908 0.000 Ge
0.000 0.408 0.000 Ge
0.500 0.408 0.500 Ge
0.250 0.158 0.250 Ge
0.000 0.592 0.000 Ge
0.250 0.342 0.250 Ge
0.000 0.092 0.500 Ge
0.250 0.658 0.750 Ge
0.750 0.658 0.250 Ge
```

Computed properties:
- DOS at the Fermi energy: 0.246 states/eV/atom
- Final energy: -3.434 eV/atom
- Theoretical density: 3.63 g/cm3
- Crystal system: orthorhombic
- E_form: -0.17 eV/atom

=====

No. 7
The following is a GGA-PBE calculation of a relaxed Th3ScB2Rh9 crystal, from Alexandria.

Cell and atoms, written as POSCAR:
```
Th3ScB2Rh9
1.0
-3.219 0.401 4.938
5.346 -2.510 0.154
3.575 7.718 1.704
Rh Th B Sc
9 3 2 1
Direct
0.168 0.336 0.283 Rh
0.664 0.832 0.283 Rh
0.000 0.500 0.000 Rh
0.832 0.168 0.717 Rh
0.168 0.832 0.283 Rh
0.832 0.664 0.717 Rh
0.336 0.168 0.717 Rh
0.500 0.500 0.000 Rh
0.500 0.000 0.000 Rh
0.333 0.667 0.665 Th
0.000 0.000 0.000 Th
0.667 0.333 0.335 Th
0.667 0.333 0.855 B
0.333 0.667 0.145 B
0.000 0.000 0.500 Sc
```

Computed properties:
- DOS at the Fermi energy: 0.916 states/eV/atom
- Final energy: -7.940 eV/atom
- Theoretical density: 10.69 g/cm3
- Crystal system: trigonal
- E_form: -0.73 eV/atom

=====

No. 8
The following is a GGA-PBE calculation of a relaxed HoErTl2 crystal, from Alexandria.

Cell and atoms, written as POSCAR:
```
HoErTl2
1.0
-2.837 -1.835 -1.551
-1.504 -2.917 1.747
-7.651 4.266 4.489
Er Tl Ho
1 2 1
Direct
0.500 0.500 0.500 Er
0.250 0.250 0.251 Tl
0.750 0.750 0.749 Tl
0.000 0.000 0.000 Ho
```

Computed properties:
- DOS at the Fermi energy: 0.489 states/eV/atom
- Final energy: -3.721 eV/atom
- Theoretical density: 10.70 g/cm3
- Excess energy over the best structure of this formula in the dataset: 0.069 eV/atom
- Crystal system: trigonal
- E_form: -0.25 eV/atom